[1]
# AlSb2IF, single point on PBEsol structure, DFT meta-GGA SCAN
data_AlSb2IF
_cell_length_a 4.651
_cell_length_b 4.651
_cell_length_c 5.867
_cell_angle_alpha 90.00
_cell_angle_beta 90.00
_cell_angle_gamma 90.00
_symmetry_space_group_name_H-M 'P 4/m m m'
_symmetry_Int_Tables_number 123
_symmetry_space_group_name_Hall '-P 4 2'
loop_
_atom_site_label
_atom_site_type_symbol
_atom_site_fract_x
_atom_site_fract_y
_atom_site_fract_z
Al1 Al 0.000 0.000 0.000
Sb1 Sb 0.000 0.500 0.500
I1 I 0.500 0.500 0.000
F1 F 0.500 0.500 0.500
# Fermi-level density of states   3.17 states/eV/f.u.
# Uncorrected energy   -24.40 eV per atom
# Formation energy without anion corrections   0.6 eV per formula unit

---

[2]
# CaTaBr2, single point on PBEsol structure, DFT meta-GGA SCAN
data_CaTaBr2
_cell_length_a 3.3569
_cell_length_b 3.3569
_cell_length_c 29.4347
_cell_angle_alpha 90.00
_cell_angle_beta 90.00
_cell_angle_gamma 120.00
_symmetry_space_group_name_H-M 'R -3 m'
_symmetry_Int_Tables_number 166
_symmetry_space_group_name_Hall '-R 3 2"'
loop_
_atom_site_label
_atom_site_type_symbol
_atom_site_fract_x
_atom_site_fract_y
_atom_site_fract_z
Ca1 Ca 0.0000 0.0000 0.0000
Ta1 Ta 0.0000 0.0000 0.5000
Br1 Br 0.0000 0.0000 0.2302
# Fermi-level density of states   2.01 states/eV/f.u.
# Uncorrected energy   -28.86 eV per atom
# Formation energy without anion corrections   -0.3 eV per formula unit

---

[3]
# Ta2AgAu, single point on PBEsol structure, DFT meta-GGA SCAN
data_Ta2AgAu
_cell_length_a 3.040
_cell_length_b 3.746
_cell_length_c 6.002
_cell_angle_alpha 90.00
_cell_angle_beta 90.00
_cell_angle_gamma 90.00
_symmetry_space_group_name_H-M 'P m m 2'
_symmetry_Int_Tables_number 25
_symmetry_space_group_name_Hall 'P 2 -2'
loop_
_atom_site_label
_atom_site_type_symbol
_atom_site_fract_x
_atom_site_fract_y
_atom_site_fract_z
Ta1 Ta 0.000 0.000 0.000
Ta2 Ta 0.500 0.500 0.256
Ag1 Ag 0.000 0.000 0.509
Au1 Au 0.500 0.500 0.750
# Fermi-level density of states   1.65 states/eV/f.u.
# Uncorrected energy   -58.40 eV per atom
# Energy of formation from the pure elements   0.081 eV per formula unit

---

[4]
# Na2CoSe2, single point on PBEsol structure, DFT meta-GGA SCAN
data_Na2CoSe2
_cell_length_a 6.393
_cell_length_b 11.893
_cell_length_c 5.719
_cell_angle_alpha 90.00
_cell_angle_beta 90.00
_cell_angle_gamma 90.00
_symmetry_space_group_name_H-M 'I b a m'
_symmetry_Int_Tables_number 72
_symmetry_space_group_name_Hall '-I 2 2c'
loop_
_atom_site_label
_atom_site_type_symbol
_atom_site_fract_x
_atom_site_fract_y
_atom_site_fract_z
Na1 Na 0.171 0.141 0.000
Co1 Co 0.000 0.500 0.250
Se1 Se 0.208 0.387 0.000
# Fermi-level density of states   0.41 states/eV/f.u.
# Uncorrected energy   -14.02 eV per atom
# Formation energy without anion corrections   -4.2 eV per formula unit